(1)
Below is a relaxed structure of GaFeAu, with properties calculated at the GGA-PBE level.

Cell lengths 6.170, 6.170, 6.170 Å; angles 153.85, 153.85, 37.31 degrees
Atoms (fractional coordinates):
Ga  0.000  0.000  0.000
Fe  0.647  0.647  0.000
Au  0.315  0.315  0.000

Calculated density ... 11.757 g/cm3
Calculated formation energy ... 0.02 eV per atom

***

(2)
Below is a relaxed structure of GaFe3Au, with properties calculated at the GGA-PBE level.

Cell lengths 4.424, 4.424, 4.424 Å; angles 90.00, 90.00, 90.00 degrees
Atoms (fractional coordinates):
Ga  0.000  0.000  0.000
Fe  0.000  0.000  0.500
Fe  0.000  0.500  0.000
Fe  0.500  0.000  0.000
Au  0.500  0.500  0.500

Calculated density ... 8.327 g/cm3
Calculated formation energy ... 0.96 eV per atom

***

(3)
Below is a relaxed structure of Ga2FeAu, with properties calculated at the GGA-PBE level.

Cell lengths 4.396, 4.396, 4.396 Å; angles 60.00, 60.00, 60.00 degrees
Atoms (fractional coordinates):
Ga  0.250  0.250  0.250
Ga  0.750  0.750  0.750
Fe  0.000  0.000  0.000
Au  0.500  0.500  0.500

Calculated density ... 10.845 g/cm3
Calculated formation energy ... 0.05 eV per atom

***

(4)
Below is a relaxed structure of Ga2FeAu, with properties calculated at the GGA-PBE level.

Cell lengths 9.731, 9.731, 9.731 Å; angles 16.99, 16.99, 16.99 degrees
Atoms (fractional coordinates):
Ga  0.085  0.085  0.085
Ga  0.915  0.915  0.915
Fe  0.000  0.000  0.000
Au  0.500  0.500  0.500

Calculated density ... 9.496 g/cm3
Calculated formation energy ... 0.26 eV per atom

***

(5)
Below is a relaxed structure of Ga2FeAu, with properties calculated at the GGA-PBE level.

Cell lengths 5.644, 5.644, 5.644 Å; angles 103.35, 103.35, 122.56 degrees
Atoms (fractional coordinates):
Ga  0.114  0.125  0.489
Ga  0.375  0.886  0.011
Ga  0.636  0.625  0.511
Ga  0.875  0.364  0.989
Fe  0.000  0.000  0.000
Fe  0.750  0.250  0.500
Au  0.250  0.750  0.500
Au  0.500  0.500  0.000

Calculated density ... 9.804 g/cm3
Calculated formation energy ... 0.21 eV per atom

***

(6)
Below is a relaxed structure of Ga3FeAu, with properties calculated at the GGA-PBE level.

Cell lengths 4.559, 4.559, 4.559 Å; angles 90.00, 90.00, 90.00 degrees
Atoms (fractional coordinates):
Ga  0.000  0.000  0.500
Ga  0.000  0.500  0.000
Ga  0.500  0.000  0.000
Fe  0.000  0.000  0.000
Au  0.500  0.500  0.500

Calculated density ... 8.095 g/cm3
Calculated formation energy ... 0.15 eV per atom

***

(7)
Below is a relaxed structure of Ga2FeAu, with properties calculated at the GGA-PBE level.

Cell lengths 4.106, 4.106, 3.600 Å; angles 90.00, 90.00, 90.00 degrees
Atoms (fractional coordinates):
Ga  0.000  0.500  0.000
Ga  0.500  0.000  0.000
Fe  0.000  0.000  0.500
Au  0.500  0.500  0.500

Calculated density ... 10.735 g/cm3
Calculated formation energy ... 0.00 eV per atom

***

(8)
Below is a relaxed structure of GaFeAu, with properties calculated at the GGA-PBE level.

Cell lengths 4.754, 4.754, 6.245 Å; angles 110.46, 110.46, 49.28 degrees
Atoms (fractional coordinates):
Ga  0.169  0.169  0.128
Ga  0.831  0.831  0.872
Fe  0.107  0.107  0.700
Fe  0.893  0.893  0.300
Au  0.388  0.388  0.616
Au  0.612  0.612  0.384

Calculated density ... 10.848 g/cm3
Calculated formation energy ... 0.11 eV per atom